Compound: DySn2Ge
Source: Alexandria
Functional: GGA-PBE
Structure: relaxed

## Properties
The electronic total energy comes out at -4.700 eV/atom. The space-group type is P4/mmm, No. 123. For the formation energy, the calculation gives -0.39 eV/atom.

Cell lengths 4.503, 4.503, 4.769 Å; angles 90.00, 90.00, 90.00 degrees
Fractional positions:
Dy: 0.000 0.000 0.000
Sn: 0.000 0.500 0.500
Sn: 0.500 0.000 0.500
Ge: 0.500 0.500 0.000



Compound: Dy7Sn2Ge2
Source: Alexandria
Functional: GGA-PBE
Structure: relaxed

## Properties
The electronic total energy comes out at -4.917 eV/atom. The space-group type is Cmmm, No. 65. For the formation energy, the calculation gives -0.42 eV/atom.

Cell lengths 6.912, 6.912, 6.922 Å; angles 90.00, 90.00, 104.11 degrees
Fractional positions:
Dy: 0.000 0.000 0.000
Dy: 0.000 0.500 0.266
Dy: 0.000 0.500 0.734
Dy: 0.500 0.000 0.266
Dy: 0.500 0.000 0.734
Dy: 0.500 0.500 0.249
Dy: 0.500 0.500 0.751
Sn: 0.180 0.180 0.500
Sn: 0.820 0.820 0.500
Ge: 0.275 0.725 0.000
Ge: 0.725 0.275 0.000